The following is a DFT calculation (PBE+U) of an optimized crystal structure of PaVCd2O6.

POSCAR file:
```
PaVCd2O6
1.0
2.8167 1.6262 4.9180
-2.8167 1.6262 4.9180
0.0000 -3.2525 4.9180
Pa V Cd O
1 1 2 6
Cartesian
0.0000 0.0000 0.0000
0.0000 0.0000 7.3506
0.0000 0.0000 3.9903
0.0000 0.0000 11.4675
-1.6320 0.2167 6.0825
-1.0998 -1.3495 8.4635
0.6283 -1.5216 6.0825
-0.6187 1.6272 8.4635
1.0036 1.3050 6.0825
1.7186 -0.2778 8.4635
```

Summary:
E   -7.02 eV per atom
Magnetization   2.00 μB/cell